Density functional theory data (PBE-GGA) for an optimized crystal structure of NaThTl6.

Cell lengths 4.8162, 4.8162, 9.7864 Å; angles 90.00, 90.00, 90.00 degrees
Atoms (fractional coordinates):
Tl: 0.0000 0.5000 0.7478
Tl: 0.0000 0.5000 0.2522
Tl: 0.5000 0.0000 0.2522
Tl: 0.5000 0.5000 0.0000
Tl: 0.5000 0.5000 0.5000
Tl: 0.5000 0.0000 0.7478
Na: 0.0000 0.0000 0.5000
Th: 0.0000 0.0000 0.0000

Summary:
Energy relative to the elements   -0.6 eV per formula unit